Ti2SCl: relaxed, PBE.

Cell and atoms, written as POSCAR:
```
Ti2SCl
1.0
0.000 3.081 3.081
3.081 0.000 3.081
3.081 3.081 0.000
Ti S Cl
2 1 1
Direct
0.250 0.250 0.250
0.750 0.750 0.750
0.000 0.000 0.000
0.500 0.500 0.500
```

Summary:
- formation energy (no corrections) (meV/atom) = -728
- space-group type = Fm-3m, No. 225
- magnetization (μB/cell) = 0.7